PBE-GGA Sc3NbAs, relaxed; DFT formation energy = 548 meV/atom; magnetization = 0.0 μB per cell; energy above the most stable polymorph in this dataset = 399 meV/atom
1.0
-0.138 3.941 3.116
-4.032 -1.947 2.283
2.997 -2.437 3.215
Sc Nb As
3 1 1
Direct
0.000 0.000 0.500
0.000 0.500 0.000
0.500 0.000 0.000
0.000 0.000 0.000
0.500 0.500 0.500

PBE-GGA Pr2Pd3Au, relaxed; DFT formation energy = -692 meV/atom; magnetization = 0.0 μB per cell; energy above the most stable polymorph in this dataset = 19 meV/atom
1.0
-1.950 -1.080 3.332
-1.856 -2.863 -2.015
8.442 -3.672 1.339
Pd Pr Au
3 2 1
Direct
0.299 0.799 0.597
0.703 0.703 0.406
0.554 0.554 0.108
0.128 0.128 0.255
0.866 0.366 0.731
0.451 0.951 0.903

PBE-GGA Zn2PbBr, relaxed; magnetization = 0.0 μB per cell; energy above the most stable polymorph in this dataset = 99 meV/atom; uncorrected formation energy = 0.08 eV per formula unit
1.0
5.193 0.008 -0.037
-1.786 4.876 -0.037
1.284 1.840 4.127
Zn Br Pb
2 1 1
Direct
0.000 0.000 0.000
0.500 0.500 0.000
0.500 0.000 0.500
0.000 0.500 0.500

PBE-GGA HoEr2AgHg4, relaxed; DFT formation energy = -389 meV/atom; magnetization = 0.0 μB per cell
1.0
-3.462 -3.653 -0.746
0.720 -4.631 1.980
-4.981 -0.357 7.512
Ho Hg Ag Er
1 4 1 2
Direct
0.000 0.000 0.000
0.876 0.876 0.371
0.124 0.124 0.629
0.373 0.373 0.881
0.627 0.627 0.119
0.500 0.500 0.500
0.243 0.243 0.272
0.757 0.757 0.728